1.
Density functional theory data (PBE) for crystalline ThRh2 at its relaxed geometry.

Output
formation energy from the elements	-0.826	eV per atom

Cell lengths 4.738, 4.738, 5.951 Å; angles 90.00, 90.00, 120.00 degrees
Element x y z (fractional)
Th 0.667 0.333 0.750
Th 0.333 0.667 0.250
Rh 0.333 0.667 0.750
Rh 0.000 0.000 0.000
Rh 0.000 0.000 0.500
Rh 0.667 0.333 0.250


2.
Density functional theory data (PBE) for crystalline PrSiOs at its relaxed geometry.

Output
raw formation energy	-0.426	eV per atom

Cell lengths 4.367, 4.133, 4.133 Å; angles 120.00, 90.00, 90.00 degrees
Element x y z (fractional)
Pr 0.666 0.667 0.333
Si 0.167 0.000 0.000
Os 0.167 0.333 0.667


3.
Density functional theory data (PBE) for crystalline Er3Cd2 at its relaxed geometry.

Output
formation energy from the elements	-0.236	eV per atom
energy above the most stable polymorph in this dataset	0	meV/atom

Cell lengths 3.628, 3.628, 20.358 Å; angles 90.00, 90.00, 90.00 degrees
Element x y z (fractional)
Er 0.000 0.000 0.882
Er 0.000 0.000 0.118
Er 0.000 0.000 0.312
Er 0.000 0.000 0.500
Er 0.000 0.000 0.688
Er 0.500 0.500 0.000
Cd 0.500 0.500 0.216
Cd 0.500 0.500 0.405
Cd 0.500 0.500 0.595
Cd 0.500 0.500 0.784


4.
Density functional theory data (PBE) for crystalline Li4HgS3 at its relaxed geometry.

Output
raw formation energy	-0.970	eV per atom

Cell lengths 6.369, 7.298, 8.369 Å; angles 110.98, 90.00, 115.87 degrees
Element x y z (fractional)
S 0.662 0.330 0.838
S 0.669 0.330 0.338
S 0.290 0.587 0.580
S 0.297 0.587 0.080
S 0.949 0.869 0.842
S 0.920 0.869 0.342
Hg 0.643 0.968 0.760
Hg 0.325 0.968 0.260
Li 0.278 0.230 0.918
Li 0.952 0.230 0.418
Li 0.586 0.475 0.635
Li 0.889 0.475 0.135
Li 0.082 0.580 0.830
Li 0.498 0.580 0.330
Li 0.029 0.740 0.546
Li 0.711 0.740 0.046


5.
Density functional theory data (PBE) for crystalline BAs2Rh at its relaxed geometry.

Output
formation energy from the elements	0.043	eV per atom

Cell lengths 5.371, 5.371, 6.031 Å; angles 63.56, 63.56, 90.00 degrees
Element x y z (fractional)
As 0.574 0.125 0.250
As 0.176 0.625 0.250
As 0.375 0.426 0.750
As 0.875 0.824 0.750
B 0.500 0.500 0.000
B 0.250 0.750 0.500
Rh 0.000 0.000 0.000
Rh 0.750 0.250 0.500


6.
Density functional theory data (PBE) for crystalline Ce2Hg4Pb at its relaxed geometry.

Output
formation energy from the elements	0.159	eV per atom
energy above the most stable polymorph in this dataset	434	meV/atom

Cell lengths 5.875, 5.875, 8.622 Å; angles 109.92, 109.92, 90.00 degrees
Element x y z (fractional)
Ce 0.590 0.590 0.179
Ce 0.410 0.410 0.821
Hg 0.796 0.796 0.593
Hg 0.204 0.204 0.407
Hg 0.000 0.500 0.000
Hg 0.500 0.000 0.000
Pb 0.000 0.000 0.000


7.
Density functional theory data (PBE) for crystalline YAl2As at its relaxed geometry.

Output
formation energy from the elements	-0.374	eV per atom

Cell lengths 4.751, 3.126, 5.514 Å; angles 90.00, 90.00, 90.00 degrees
Element x y z (fractional)
Y 0.500 0.750 0.745
As 0.000 0.250 0.513
Al 0.000 0.250 0.003
Al 0.500 0.251 0.238


8.
Density functional theory data (PBE) for crystalline BaIr2Br at its relaxed geometry.

Output
raw formation energy	0.694	eV per atom
energy above the most stable polymorph in this dataset	887	meV/atom

Cell lengths 3.113, 5.437, 6.379 Å; angles 90.00, 90.00, 90.00 degrees
Element x y z (fractional)
Ir 0.000 0.000 0.067
Ir 0.000 0.000 0.433
Ba 0.500 0.500 0.250
Br 0.500 0.500 0.750


| no. | magnetization (μB/f.u.) | final energy (eV per atom) |
| --- | --- | --- |
| 1 | 0.00 | -8.2003 |
| 2 | 0.00 | -7.5696 |
| 3 | 0.00 | -3.3396 |
| 4 | 0.00 | -3.5126 |
| 5 | 0.00 | -5.7893 |
| 6 | 1.71 | -2.2390 |
| 7 | 0.00 | -5.0235 |
| 8 | 1.68 | -4.6355 |